Computed, not measured: Fe3O after structural relaxation at the GGA+U level of DFT.

```
data_Fe3O
_symmetry_space_group_name_H-M 'P 63/m m c'
_symmetry_Int_Tables_number 194
_symmetry_space_group_name_Hall '-P 6c 2c'
_cell_length_a 5.0968
_cell_length_b 5.0968
_cell_length_c 4.5685
_cell_angle_alpha 90.00
_cell_angle_beta 90.00
_cell_angle_gamma 120.00
loop_
_atom_site_label
_atom_site_fract_x
_atom_site_fract_y
_atom_site_fract_z
Fe1 0.1626 0.3253 0.2500
O1 0.3333 0.6667 0.7500
```

Mass density ... 5.9 g/cm³
Raw total energy ... -39.12 eV/cell